(1)
! HfIrPb2I (PBE, optimized geometry); values from VASP
! - ΔE_f (raw) (eV/atom) = 1.2756
! - mass density (kg/m³) = 8673
! - E (Ry per atom) = -0.315
&SYSTEM
  ibrav = 0, nat = 5, ntyp = 4
/
ATOMIC_SPECIES
Ir 192.22 Ir.upf
I 126.90 I.upf
Pb 207.20 Pb.upf
Hf 178.49 Hf.upf
CELL_PARAMETERS angstrom
-2.1268 2.1154 4.8448
1.8308 -4.2897 2.6767
4.9176 2.7080 0.9763
ATOMIC_POSITIONS crystal
Ir 0.5000 0.5000 0.5000
I 0.0000 0.5000 0.0000
Pb 0.5000 0.0000 0.0000
Pb 0.0000 0.0000 0.5000
Hf 0.0000 0.0000 0.0000

(2)
! K2MgAg2F6 (PBE, optimized geometry); values from VASP
! - ΔE_f (raw) (eV/atom) = -2.2469
! - mass density (kg/m³) = 3514
! - E (Ry per atom) = -0.304
&SYSTEM
  ibrav = 0, nat = 11, ntyp = 4
/
ATOMIC_SPECIES
F 19.00 F.upf
K 39.10 K.upf
Ag 107.87 Ag.upf
Mg 24.30 Mg.upf
CELL_PARAMETERS angstrom
-2.8642 2.1475 -5.5055
-0.2449 -3.8710 -5.2992
-5.8232 -2.5995 -1.9011
ATOMIC_POSITIONS crystal
F 0.7843 0.7843 0.2317
F 0.2157 0.2157 0.7683
F 0.7843 0.1996 0.2317
F 0.2157 0.8004 0.7683
F 0.1996 0.7843 0.2317
F 0.8004 0.2157 0.7683
K 0.2078 0.2078 0.3767
K 0.7922 0.7922 0.6233
Ag 0.4131 0.4131 0.7607
Ag 0.5869 0.5869 0.2393
Mg 0.0000 0.0000 0.0000

(3)
! Rb2SeSI (PBE, optimized geometry); values from VASP
! - ΔE_f (raw) (eV/atom) = -0.8666
! - mass density (kg/m³) = 3320
! - E (Ry per atom) = -0.227
&SYSTEM
  ibrav = 0, nat = 5, ntyp = 4
/
ATOMIC_SPECIES
Se 78.96 Se.upf
Rb 85.47 Rb.upf
S 32.06 S.upf
I 126.90 I.upf
CELL_PARAMETERS angstrom
6.5587 0.0000 0.0000
0.0000 6.5587 0.0000
0.0000 0.0000 4.7537
ATOMIC_POSITIONS crystal
Se 0.0000 0.0000 0.5000
Rb 0.5000 0.0000 0.0000
Rb 0.0000 0.5000 0.0000
S 0.0000 0.0000 0.0000
I 0.5000 0.5000 0.5000

(4)
! BaReSbI2 (PBE, optimized geometry); values from VASP
! - ΔE_f (raw) (eV/atom) = -0.0280
! - mass density (kg/m³) = 6881
! - E (Ry per atom) = -0.319
&SYSTEM
  ibrav = 0, nat = 5, ntyp = 4
/
ATOMIC_SPECIES
I 126.90 I.upf
Re 186.21 Re.upf
Ba 137.33 Ba.upf
Sb 121.76 Sb.upf
CELL_PARAMETERS angstrom
5.7276 0.0000 0.0000
0.0000 5.7276 0.0000
0.0000 0.0000 5.1431
ATOMIC_POSITIONS crystal
I 0.5000 0.0000 0.0000
I 0.0000 0.5000 0.0000
Re 0.0000 0.0000 0.0000
Ba 0.5000 0.5000 0.5000
Sb 0.0000 0.0000 0.5000

(5)
! SiRhSCl2 (PBE, optimized geometry); values from VASP
! - ΔE_f (raw) (eV/atom) = 0.4221
! - mass density (kg/m³) = 3782
! - E (Ry per atom) = -0.272
&SYSTEM
  ibrav = 0, nat = 5, ntyp = 4
/
ATOMIC_SPECIES
Cl 35.45 Cl.upf
S 32.06 S.upf
Rh 102.91 Rh.upf
Si 28.09 Si.upf
CELL_PARAMETERS angstrom
-2.7518 1.5477 -3.4138
-0.3659 -4.3257 -1.6661
-3.8117 -0.7330 2.7402
ATOMIC_POSITIONS crystal
Cl 0.0000 0.5000 0.0000
Cl 0.5000 0.0000 0.0000
S 0.0000 0.0000 0.5000
Rh 0.5000 0.5000 0.5000
Si 0.0000 0.0000 0.0000

(6)
! CuBi2Pb (PBE, optimized geometry); values from VASP
! - mass density (kg/m³) = 9955
! - E (Ry per atom) = -0.276
! - calculated formation energy (eV/atom) = 0.14
&SYSTEM
  ibrav = 0, nat = 4, ntyp = 3
/
ATOMIC_SPECIES
Bi 208.98 Bi.upf
Pb 207.20 Pb.upf
Cu 63.55 Cu.upf
CELL_PARAMETERS angstrom
4.3985 0.0000 0.0000
2.1993 3.8092 0.0000
2.1993 1.2697 6.8566
ATOMIC_POSITIONS crystal
Bi 0.2735 0.2735 0.1796
Bi 0.0605 0.0605 0.8186
Pb 0.5019 0.5019 0.4944
Cu 0.6642 0.6642 0.0075

(7)
! Ac2Dy2Pd15 (PBE, optimized geometry); values from VASP
! - mass density (kg/m³) = 10947
! - E (Ry per atom) = -0.414
! - calculated formation energy (eV/atom) = -0.62
&SYSTEM
  ibrav = 0, nat = 19, ntyp = 3
/
ATOMIC_SPECIES
Pd 106.42 Pd.upf
Dy 162.50 Dy.upf
Ac 227.00 Ac.upf
CELL_PARAMETERS angstrom
-1.5764 -7.0232 -0.0864
3.0532 -1.7737 -6.2730
6.2434 -2.5973 2.4682
ATOMIC_POSITIONS crystal
Pd 0.6999 0.3001 0.0000
Pd 0.0000 0.6999 0.3001
Pd 0.3486 0.3486 0.8448
Pd 0.6999 0.0000 0.3001
Pd 0.6514 0.6514 0.1552
Pd 0.0000 0.0000 0.5000
Pd 0.0000 0.3001 0.6999
Pd 0.3001 0.0000 0.6999
Pd 0.1552 0.6514 0.6514
Pd 0.8448 0.3486 0.3486
Pd 0.3486 0.8448 0.3486
Pd 0.0000 0.5000 0.0000
Pd 0.5000 0.0000 0.0000
Pd 0.6514 0.1552 0.6514
Pd 0.3001 0.6999 0.0000
Dy 0.8927 0.8927 0.8927
Dy 0.1073 0.1073 0.1073
Ac 0.3573 0.3573 0.3573
Ac 0.6427 0.6427 0.6427

(8)
! CaNiCl2 (PBE, optimized geometry); values from VASP
! - ΔE_f (raw) (eV/atom) = -0.7261
! - mass density (kg/m³) = 2760
! - E (Ry per atom) = -0.264
&SYSTEM
  ibrav = 0, nat = 4, ntyp = 3
/
ATOMIC_SPECIES
Ni 58.69 Ni.upf
Cl 35.45 Cl.upf
Ca 40.08 Ca.upf
CELL_PARAMETERS angstrom
4.3713 -0.0944 0.0000
-2.7124 3.4293 0.0000
0.0000 0.0000 6.9295
ATOMIC_POSITIONS crystal
Ni 0.5000 0.5000 0.2500
Cl 0.0000 0.0000 0.0314
Cl 0.0000 0.0000 0.4686
Ca 0.5000 0.5000 0.7500